Entry 1:
Compound: LaCoHg2
Source: Alexandria via LeMat-Bulk
Functional: PBE
Structure: optimized geometry

Calculated values
The space group is Cm (8). For the density of states at the Fermi level, the calculation gives 3.04 states/eV/f.u. The value obtained for the formation energy is -0.080 eV/atom.

Geometry as POSCAR:
```
LaCoHg2
1.0
-1.403 -3.816 3.276
-0.899 -5.128 -0.393
4.053 -3.672 1.870
Hg La Co
2 1 1
direct
0.048 0.048 0.889
0.254 0.254 0.199
0.440 0.440 0.531
0.758 0.758 0.880
```



Entry 2:
Compound: LaCuSe2
Source: Alexandria via LeMat-Bulk
Functional: PBE
Structure: optimized geometry

Calculated values
The space group is Cm (8). For the density of states at the Fermi level, the calculation gives 0.06 states/eV/f.u. As for the formation energy (no corrections): -1.230 eV/atom.

Geometry as POSCAR:
```
LaCuSe2
1.0
-2.782 -5.244 -0.640
-0.841 -5.148 2.905
-3.679 1.747 1.968
Se Cu La
2 1 1
direct
0.281 0.281 0.311
0.024 0.024 0.804
0.461 0.461 0.576
0.734 0.734 0.810
```



Entry 3:
Compound: TaHRuRh2
Source: Alexandria via LeMat-Bulk
Functional: PBE
Structure: optimized geometry

Calculated values
The space group is P4/mmm (123). For the density of states at the Fermi level, the calculation gives 2.01 states/eV/f.u. The energy above the most stable polymorph in this dataset is 0.000 eV per atom.

Geometry as POSCAR:
```
TaHRuRh2
1.0
3.911 0.000 0.000
0.000 3.911 0.000
0.000 0.000 4.004
Ru Rh H Ta
1 2 1 1
direct
0.000 0.000 0.500
0.500 0.000 0.000
0.000 0.500 0.000
0.000 0.000 0.000
0.500 0.500 0.500
```



Entry 4:
Compound: BaTiIr2
Source: Alexandria via LeMat-Bulk
Functional: PBE
Structure: optimized geometry

Calculated values
The space group is I-42d (122). For the density of states at the Fermi level, the calculation gives 1.00 states/eV/f.u. The energy above the most stable polymorph in this dataset is 0.000 eV per atom. The value obtained for the formation energy is 0.151 eV/atom.

Geometry as POSCAR:
```
BaTiIr2
1.0
-0.120 7.427 -0.942
-1.145 0.913 7.343
2.702 4.288 3.706
Ir Ti Ba
4 2 2
direct
0.875 0.800 0.750
0.375 0.450 0.750
0.550 0.125 0.250
0.200 0.625 0.250
0.250 0.750 0.500
0.500 0.500 0.000
0.750 0.250 0.500
0.000 0.000 0.000
```